# HfSb2TeAu | the Alexandria database | meta-GGA SCAN | PBEsol geometry
# E_form (uncorrected) in kJ per mole of atoms: 45.9
# Crystal system: tetragonal
# Raw total energy in eV per cell: -241.225
# Calculated volume in Å³/cell: 155.7
data_HfSb2TeAu
_chemical_formula_sum 'Hf1 Sb2 Te1 Au1'
_cell_length_a 5.411
_cell_length_b 5.411
_cell_length_c 5.319
_cell_angle_alpha 90.00
_cell_angle_beta 90.00
_cell_angle_gamma 90.00
_space_group_name_H-M_alt 'P 4/m m m'
_space_group_IT_number 123
_space_group_name_Hall '-P 4 2'
loop_
_atom_site_label
_atom_site_type_symbol
_atom_site_fract_x
_atom_site_fract_y
_atom_site_fract_z
Hf1 Hf 0.000 0.000 0.000
Sb1 Sb 0.000 0.500 0.000
Te1 Te 0.000 0.000 0.500
Au1 Au 0.500 0.500 0.500

***

# HfZrScAu2 | the Alexandria database | meta-GGA SCAN | PBEsol geometry
# Crystal system: tetragonal
# Raw total energy in eV per cell: -243.142
# Calculated volume in Å³/cell: 121.2
# DFT formation energy in eV per atom: 0.556
data_HfZrScAu2
_chemical_formula_sum 'Hf1 Zr1 Sc1 Au2'
_cell_length_a 4.984
_cell_length_b 4.984
_cell_length_c 4.880
_cell_angle_alpha 90.00
_cell_angle_beta 90.00
_cell_angle_gamma 90.00
_space_group_name_H-M_alt 'P 4/m m m'
_space_group_IT_number 123
_space_group_name_Hall '-P 4 2'
loop_
_atom_site_label
_atom_site_type_symbol
_atom_site_fract_x
_atom_site_fract_y
_atom_site_fract_z
Hf1 Hf 0.000 0.000 0.000
Zr1 Zr 0.500 0.500 0.500
Sc1 Sc 0.000 0.000 0.500
Au1 Au 0.000 0.500 0.000

***

# HfAu3Se | the Alexandria database | meta-GGA SCAN | PBEsol geometry
# E_form (uncorrected) in kJ per mole of atoms: 71.4
# Crystal system: cubic
# Raw total energy in eV per cell: -286.521
# Calculated volume in Å³/cell: 111.1
data_HfAu3Se
_chemical_formula_sum 'Hf1 Au3 Se1'
_cell_length_a 4.807
_cell_length_b 4.807
_cell_length_c 4.807
_cell_angle_alpha 90.00
_cell_angle_beta 90.00
_cell_angle_gamma 90.00
_space_group_name_H-M_alt 'P m -3 m'
_space_group_IT_number 221
_space_group_name_Hall '-P 4 2 3'
loop_
_atom_site_label
_atom_site_type_symbol
_atom_site_fract_x
_atom_site_fract_y
_atom_site_fract_z
Hf1 Hf 0.000 0.000 0.000
Au1 Au 0.000 0.500 0.500
Se1 Se 0.500 0.500 0.500

***

# Hf2SiAu | the Alexandria database | meta-GGA SCAN | PBEsol geometry
# E_form (uncorrected) in kJ per mole of atoms: -24.2
# Crystal system: tetragonal
# Raw total energy in eV per cell: -822.084
# Calculated volume in Å³/cell: 307.9
data_Hf2SiAu
_chemical_formula_sum 'Hf8 Si4 Au4'
_cell_length_a 7.312
_cell_length_b 7.312
_cell_length_c 5.760
_cell_angle_alpha 90.00
_cell_angle_beta 90.00
_cell_angle_gamma 90.00
_space_group_name_H-M_alt 'I -4 2 d'
_space_group_IT_number 122
_space_group_name_Hall 'I -4 2bw'
loop_
_atom_site_label
_atom_site_type_symbol
_atom_site_fract_x
_atom_site_fract_y
_atom_site_fract_z
Hf1 Hf 0.245 0.750 0.125
Si1 Si 0.000 0.000 0.000
Au1 Au 0.000 0.000 0.500